[1]
Crystalline BaMg2PtPb at its relaxed geometry. Source: Alexandria, functional PBE-GGA.

Unit cell a=5.204 b=6.857 c=5.204 alpha=90.00 beta=90.00 gamma=90.00
Positions (direct):
Pb: 0.000 0.000 0.000
Mg: 0.000 0.000 0.500
Mg: 0.500 0.000 0.000
Ba: 0.000 0.500 0.000
Pt: 0.500 0.500 0.500

Summary:
- Symmetry: P4/mmm (123)
- Distance to the lowest polymorph of the same formula: 3.59 eV per formula unit
- DOS(E_F): 0.51 states/eV/cell
- Magnetic moment: 0.00 μB/atom
- DFT formation energy: 0.316 eV per atom

---

[2]
Crystalline BaMg2PtPb at its relaxed geometry. Source: Alexandria, functional PBE-GGA.

Unit cell a=5.163 b=5.163 c=5.500 alpha=90.00 beta=90.00 gamma=90.00
Positions (direct):
Pb: 0.000 0.000 0.500
Mg: 0.000 0.500 0.000
Mg: 0.500 0.000 0.000
Ba: 0.500 0.500 0.500
Pt: 0.000 0.000 0.000

Summary:
- Symmetry: P4/mmm (123)
- Distance to the lowest polymorph of the same formula: 0.00 eV per formula unit
- DOS(E_F): 3.47 states/eV/cell
- Magnetic moment: 0.00 μB/atom
- DFT formation energy: -0.403 eV per atom

---

[3]
Crystalline BaMgRh2Pb at its relaxed geometry. Source: Alexandria, functional PBE-GGA.

Unit cell a=4.924 b=5.162 c=4.924 alpha=90.00 beta=90.00 gamma=90.00
Positions (direct):
Pb: 0.000 0.500 0.000
Mg: 0.000 0.000 0.000
Rh: 0.000 0.000 0.500
Rh: 0.500 0.000 0.000
Ba: 0.500 0.500 0.500

Summary:
- Symmetry: P4/mmm (123)
- DOS(E_F): 2.24 states/eV/cell
- Magnetic moment: 0.00 μB/atom
- DFT formation energy: 0.323 eV per atom

---

[4]
Crystalline BaMg2RhPb at its relaxed geometry. Source: Alexandria, functional PBE-GGA.

Unit cell a=5.135 b=5.135 c=5.299 alpha=90.00 beta=90.00 gamma=90.00
Positions (direct):
Pb: 0.000 0.000 0.500
Mg: 0.000 0.500 0.000
Mg: 0.500 0.000 0.000
Rh: 0.000 0.000 0.000
Ba: 0.500 0.500 0.500

Summary:
- Symmetry: P4/mmm (123)
- DOS(E_F): 3.54 states/eV/cell
- Magnetic moment: 0.00 μB/atom
- DFT formation energy: -0.332 eV per atom

---

no.,DFT total energy (eV/atom)
1,-2.657
2,-3.375
3,-4.063
4,-3.566